(1)
A geometry-optimized KCu2Si structure, computed with PBE.

Cell lengths 2.681, 3.814, 7.422 Å; angles 90.00, 90.00, 90.00 degrees
Space group Pmm2 (No. 25)
Unique sites:
K 0.000 0.000 0.000 [1 per cell]
Cu 0.000 0.000 0.486 [1 per cell]
Cu 0.500 0.500 0.655 [1 per cell]
Si 0.500 0.500 0.339 [1 per cell]

Raw formation energy ... 0.276 eV/atom
D(E_F) ... 2.0 states/eV per cell
Mass density ... 4.25 Mg/m³

(2)
A geometry-optimized KCu9Si4 structure, computed with PBE.

Cell lengths 8.168, 8.168, 11.737 Å; angles 90.00, 90.00, 90.00 degrees
Space group I4/mcm (No. 140)
Unique sites:
K 0.000 0.000 0.250 [4 per cell]
Cu 0.000 0.500 0.000 [4 per cell]
Cu 0.065 0.205 0.000 [16 per cell]
Cu 0.124 0.376 0.184 [16 per cell]
Si 0.176 0.324 0.384 [16 per cell]

Raw formation energy ... -0.086 eV/atom
D(E_F) ... 9.4 states/eV per cell
Mass density ... 6.14 Mg/m³

(3)
A geometry-optimized KCu2Si2 structure, computed with PBE.

Cell lengths 4.238, 4.238, 9.946 Å; angles 90.00, 90.00, 90.00 degrees
Space group I4/mmm (No. 139)
Unique sites:
K 0.000 0.000 0.000 [2 per cell]
Cu 0.000 0.500 0.250 [4 per cell]
Si 0.000 0.000 0.373 [4 per cell]

Raw formation energy ... 0.081 eV/atom
D(E_F) ... 4.2 states/eV per cell
Mass density ... 4.13 Mg/m³

(4)
A geometry-optimized KCu2Si structure, computed with PBE.

Cell lengths 6.532, 8.926, 2.636 Å; angles 90.00, 109.85, 90.00 degrees
Space group C2/m (No. 12)
Unique sites:
K 0.000 0.000 0.000 [2 per cell]
Cu 0.250 0.250 0.500 [4 per cell]
Si 0.000 0.500 0.000 [2 per cell]

Raw formation energy ... 0.667 eV/atom
D(E_F) ... 3.1 states/eV per cell
Mass density ... 4.46 Mg/m³

(5)
A geometry-optimized KCu2Si2 structure, computed with PBE.

Cell lengths 7.982, 7.982, 2.610 Å; angles 90.00, 90.00, 90.00 degrees
Space group P4/mbm (No. 127)
Unique sites:
K 0.000 0.000 0.000 [2 per cell]
Cu 0.139 0.361 0.000 [4 per cell]
Si 0.140 0.640 0.500 [4 per cell]

Raw formation energy ... 0.202 eV/atom
D(E_F) ... 4.1 states/eV per cell
Mass density ... 4.44 Mg/m³

(6)
A geometry-optimized KCuSi3 structure, computed with PBE.

Cell lengths 4.749, 4.749, 4.749 Å; angles 90.00, 90.00, 90.00 degrees
Space group Pm-3m (No. 221)
Unique sites:
K 0.000 0.000 0.000 [1 per cell]
Cu 0.500 0.500 0.500 [1 per cell]
Si 0.000 0.500 0.500 [3 per cell]

Raw formation energy ... 0.651 eV/atom
D(E_F) ... 3.2 states/eV per cell
Mass density ... 2.90 Mg/m³

(7)
A geometry-optimized KCu2Si structure, computed with PBE.

Cell lengths 7.210, 4.158, 6.441 Å; angles 90.00, 109.53, 90.00 degrees
Space group Cm (No. 8)
Unique sites:
K 0.000 0.000 0.000 [2 per cell]
Cu 0.154 0.000 0.522 [2 per cell]
Cu 0.472 0.000 0.471 [2 per cell]
Si 0.301 0.500 0.459 [2 per cell]

Raw formation energy ... -0.034 eV/atom
D(E_F) ... 4.1 states/eV per cell
Mass density ... 3.55 Mg/m³

(8)
A geometry-optimized KCuSi2 structure, computed with PBE.

Cell lengths 3.9610, 3.9610, 20.0467 Å; angles 90.00, 90.00, 120.00 degrees
Space group R3m (No. 160, hexagonal axes)
Unique sites:
K 0.0000 0.0000 0.0000 [3 per cell]
Cu 0.0000 0.0000 0.8257 [3 per cell]
Si 0.0000 0.0000 0.2013 [3 per cell]
Si 0.0000 0.0000 0.4619 [3 per cell]

Raw formation energy ... 0.039 eV/atom
D(E_F) ... 2.4 states/eV per cell
Mass density ... 2.90 Mg/m³